Ce8ZnHg2 after structural relaxation, computed with GGA-PBE.

N(E_F) = 30.96 states/eV per cell
DFT formation energy = -0.02 eV per atom
Volume = 283 Å³/f.u.

a = 7.7894 Å, b = 7.7894 Å, c = 7.7894 Å
α = 139.95°, β = 103.93°, γ = 89.65°
With the nearest neighbours (Å) after each atom.
Element x y z (fractional)
Ce1 0.1205 0.3474 0.7731  1 Ce 2.87, 1 Zn 3.12
Ce2 0.1784 0.1784 0.0000  4 Ce 2.80-2.87
Ce3 0.2065 0.0000 0.2065  2 Ce 2.80
Ce4 0.4257 0.6526 0.7731  1 Ce 2.87, 1 Zn 3.12
Ce5 0.5743 0.3474 0.2269  1 Ce 2.87, 1 Zn 3.12
Ce6 0.7935 0.0000 0.7935  2 Ce 2.80
Ce7 0.8216 0.8216 0.0000  4 Ce 2.80-2.87
Ce8 0.8795 0.6526 0.2269  1 Ce 2.87, 1 Zn 3.12
Zn1 0.0000 0.5000 0.5000  12 Ce 3.12-3.32
Hg1 0.3493 0.8493 0.5000  10 Ce 3.27-3.44, 1 Hg 3.33
Hg2 0.6507 0.1507 0.5000  10 Ce 3.27-3.44, 1 Hg 3.33

---

Ce4ZnHg3 after structural relaxation, computed with GGA-PBE.

N(E_F) = 19.79 states/eV per cell
DFT formation energy = -0.26 eV per atom
Volume = 199 Å³/f.u.

a = 9.8417 Å, b = 9.8417 Å, c = 4.6431 Å
α = 103.37°, β = 103.37°, γ = 27.14°
With the nearest neighbours (Å) after each atom.
Element x y z (fractional)
Ce1 0.1221 0.1221 0.1036  4 Ce 3.14-3.42, 6 Hg 3.19-3.36, 2 Zn 3.24
Ce2 0.3777 0.3777 0.3538  4 Ce 3.14-3.42, 2 Zn 3.16-3.34, 6 Hg 3.24-3.36
Ce3 0.6223 0.6223 0.6462  4 Ce 3.14-3.42, 2 Zn 3.16-3.34, 6 Hg 3.24-3.36
Ce4 0.8779 0.8779 0.8964  4 Ce 3.14-3.42, 6 Hg 3.19-3.36, 2 Zn 3.24
Zn1 0.5000 0.5000 0.0000  8 Ce 3.16-3.34, 4 Hg 3.27
Hg1 0.0000 0.0000 0.5000  8 Ce 3.19-3.30, 4 Zn 3.27
Hg2 0.2499 0.2499 0.7395  4 Hg 3.21-3.34, 8 Ce 3.29-3.36
Hg3 0.7501 0.7501 0.2605  4 Hg 3.21-3.34, 8 Ce 3.29-3.36